MnB2Rh5 | GGA-PBE | relaxed

Its space-group type is No. 71. As for the crystal system: orthorhombic. The calculation puts the formation energy at -0.248 eV per atom. The theoretical density is 9.8 g cm⁻³.

Cell lengths 6.9517, 6.9517, 6.9517 Å; angles 155.93, 132.71, 53.75 degrees
Positions (direct):
1 Mn 0.0000 0.0000 0.0000
2 B 0.2882 0.7882 0.5000
3 B 0.7118 0.2118 0.5000
4 Rh 0.0968 0.3464 0.7504
5 Rh 0.4040 0.6536 0.7504
6 Rh 0.5000 0.0000 0.5000
7 Rh 0.5960 0.3464 0.2496
8 Rh 0.9032 0.6536 0.2496